An optimized crystal structure of SrSiPC2. Source: the Alexandria database, functional PBEsol. Values from VASP.

Calculated volume (Å³ per atom): 14.46
N(E_F) (states/eV/f.u.): 2.272
Raw formation energy (eV/f.u.): 6.913

Geometry as Quantum ESPRESSO input:
```
&SYSTEM
  ibrav = 0, nat = 5, ntyp = 4
/
ATOMIC_SPECIES
Sr 87.62 Sr.upf
Si 28.09 Si.upf
P 30.97 P.upf
C 12.01 C.upf
ATOMIC_POSITIONS angstrom
Sr 0.000 0.000 0.000
Si 1.974 1.974 0.000
P 1.974 1.974 2.318
C 0.000 1.974 2.318
C 1.974 0.000 2.318
CELL_PARAMETERS angstrom
3.949 0.000 0.000
0.000 3.949 0.000
0.000 0.000 4.635
```

---

An optimized crystal structure of Sn2PC. Source: the Alexandria database, functional PBEsol. Values from VASP.

Calculated volume (Å³ per atom): 17.35
Formation enthalpy at 0 K (kJ/mol of atoms): 121.5
N(E_F) (states/eV/f.u.): 3.018

Geometry as Quantum ESPRESSO input:
```
&SYSTEM
  ibrav = 0, nat = 4, ntyp = 3
/
ATOMIC_SPECIES
Sn 118.71 Sn.upf
P 30.97 P.upf
C 12.01 C.upf
ATOMIC_POSITIONS angstrom
Sn 1.631 1.631 1.631
Sn 4.893 4.893 4.893
P 0.000 0.000 0.000
C 3.262 3.262 3.262
CELL_PARAMETERS angstrom
0.000 3.262 3.262
3.262 0.000 3.262
3.262 3.262 0.000
```

---

An optimized crystal structure of SrTePC2. Source: the Alexandria database, functional PBEsol. Values from VASP.

Calculated volume (Å³ per atom): 22.84
N(E_F) (states/eV/f.u.): 4.850
Raw formation energy (eV/f.u.): 9.854

Geometry as Quantum ESPRESSO input:
```
&SYSTEM
  ibrav = 0, nat = 5, ntyp = 4
/
ATOMIC_SPECIES
Sr 87.62 Sr.upf
Te 127.60 Te.upf
P 30.97 P.upf
C 12.01 C.upf
ATOMIC_POSITIONS angstrom
Sr 0.000 0.000 0.000
Te 0.000 0.000 3.156
P 2.127 2.127 0.000
C 0.000 2.127 3.156
C 2.127 0.000 3.156
CELL_PARAMETERS angstrom
4.253 0.000 0.000
0.000 4.253 0.000
0.000 0.000 6.312
```

---

An optimized crystal structure of Ta2PC. Source: the Alexandria database, functional PBEsol. Values from VASP.

Calculated volume (Å³ per atom): 12.78
Formation enthalpy at 0 K (kJ/mol of atoms): 6.3
N(E_F) (states/eV/f.u.): 1.814

Geometry as Quantum ESPRESSO input:
```
&SYSTEM
  ibrav = 0, nat = 4, ntyp = 3
/
ATOMIC_SPECIES
Ta 180.95 Ta.upf
P 30.97 P.upf
C 12.01 C.upf
ATOMIC_POSITIONS angstrom
Ta 1.473 1.473 1.473
Ta 4.418 4.418 4.418
P 0.000 0.000 0.000
C 2.946 2.946 2.946
CELL_PARAMETERS angstrom
0.000 2.946 2.946
2.946 0.000 2.946
2.946 2.946 0.000
```

---

An optimized crystal structure of Ta2PC2. Source: the Alexandria database, functional PBEsol. Values from VASP.

Calculated volume (Å³ per atom): 11.10
Formation enthalpy at 0 K (kJ/mol of atoms): 25.0
N(E_F) (states/eV/f.u.): 2.725

Geometry as Quantum ESPRESSO input:
```
&SYSTEM
  ibrav = 0, nat = 10, ntyp = 3
/
ATOMIC_SPECIES
Ta 180.95 Ta.upf
P 30.97 P.upf
C 12.01 C.upf
ATOMIC_POSITIONS angstrom
Ta 0.993 2.051 0.000
Ta 2.051 5.094 0.000
Ta 4.037 0.993 0.000
Ta 5.094 4.037 0.000
P 0.000 0.000 1.498
P 3.044 3.044 1.498
C 0.823 3.866 1.498
C 2.221 0.823 1.498
C 3.866 5.265 1.498
C 5.265 2.221 1.498
CELL_PARAMETERS angstrom
6.088 0.000 0.000
0.000 6.088 0.000
0.000 0.000 2.996
```

---

An optimized crystal structure of TePC3. Source: the Alexandria database, functional PBEsol. Values from VASP.

Calculated volume (Å³ per atom): 10.55
N(E_F) (states/eV/f.u.): 2.466
Raw formation energy (eV/f.u.): 9.735

Geometry as Quantum ESPRESSO input:
```
&SYSTEM
  ibrav = 0, nat = 5, ntyp = 3
/
ATOMIC_SPECIES
Te 127.60 Te.upf
P 30.97 P.upf
C 12.01 C.upf
ATOMIC_POSITIONS angstrom
Te 0.000 0.000 0.000
P 1.875 1.875 1.875
C 0.000 1.875 1.875
C 1.875 0.000 1.875
C 1.875 1.875 0.000
CELL_PARAMETERS angstrom
3.751 0.000 0.000
0.000 3.751 0.000
0.000 0.000 3.751
```